# 1
The following is a PBE calculation of crystalline HgPtSeO at its relaxed geometry, from OQMD via LeMat-Bulk.

The structure belongs to space group P4/nmm (No. 129, origin choice 2); the cell edges are 3.956, 3.956 and 11.755 Å and the angles 90.00°, 90.00° and 90.00°. The distinct sites, in fractional coordinates, are Hg at (0.250, 0.250, 0.038), Pt at (0.250, 0.750, 0.500), Se at (0.250, 0.250, 0.647) and O at (0.250, 0.250, 0.792).

As for the energy above the most stable polymorph in this dataset: 0.029 eV per atom. The total moment is 0.00 μB per atom.

***

# 2
The following is a PBE calculation of crystalline HgPtSeO at its relaxed geometry, from OQMD via LeMat-Bulk.

The structure belongs to space group P4/nmm (No. 129, origin choice 2); the cell edges are 4.540, 4.540 and 7.998 Å and the angles 90.00°, 90.00° and 90.00°. The distinct sites, in fractional coordinates, are Hg at (0.250, 0.250, 0.161), Pt at (0.250, 0.250, 0.643), Se at (0.250, 0.750, 0.500) and O at (0.250, 0.250, 0.887).

As for the energy above the most stable polymorph in this dataset: 0.255 eV per atom. The total moment is 0.00 μB per atom.